Record 1
# NaPaFe | the Open Quantum Materials Database | PBE-GGA | relaxed
data_NaPaFe
_chemical_formula_sum 'Na1 Pa1 Fe1'
_symmetry_space_group_name_H-M 'P 1'
_symmetry_Int_Tables_number 1
_symmetry_space_group_name_Hall 'P 1'
_cell_length_a 4.449
_cell_length_b 4.449
_cell_length_c 4.449
_cell_angle_alpha 60.00
_cell_angle_beta 60.00
_cell_angle_gamma 60.00
loop_
_atom_site_label
_atom_site_type_symbol
_atom_site_fract_x
_atom_site_fract_y
_atom_site_fract_z
Na1 Na 0.750 0.750 0.750
Pa1 Pa 0.250 0.250 0.250
Fe1 Fe 0.000 0.000 0.000
# Polymorph energy (0 for the lowest one) (meV/atom): 0

Record 2
ErTmAl2Ni4 | PBE-GGA | relaxed

```
data_ErTmAl2Ni4
_chemical_formula_sum 'Er1 Tm1 Al2 Ni4'
_symmetry_space_group_name_H-M 'P 1'
_symmetry_Int_Tables_number 1
_symmetry_space_group_name_Hall 'P 1'
_cell_length_a 4.130
_cell_length_b 4.130
_cell_length_c 8.728
_cell_angle_alpha 90.00
_cell_angle_beta 90.00
_cell_angle_gamma 120.00
loop_
_atom_site_label
_atom_site_type_symbol
_atom_site_fract_x
_atom_site_fract_y
_atom_site_fract_z
Er1 Er 0.000 0.000 0.500
Al1 Al 0.333 0.667 0.249
Al2 Al 0.333 0.667 0.751
Ni1 Ni 0.000 0.000 0.818
Ni2 Ni 0.000 0.000 0.182
Ni3 Ni 0.667 0.333 0.316
Ni4 Ni 0.667 0.333 0.684
Tm1 Tm 0.667 0.333 0.000
```

Electronic total energy in eV per atom, matching the order above: -5.54, -5.46